# 1
Computed, not measured: Pr2Sm6DyY3 after structural relaxation at the PBE level of DFT. Values from VASP.

The structure in Quantum ESPRESSO input format:
```
&SYSTEM
  ibrav = 0, nat = 12, ntyp = 4
/
ATOMIC_SPECIES
Pr 140.91 Pr.upf
Sm 150.36 Sm.upf
Dy 162.50 Dy.upf
Y 88.91 Y.upf
ATOMIC_POSITIONS crystal
Pr 0.1667 0.8333 0.0000
Pr 0.8333 0.1667 0.0000
Sm 0.0838 0.4159 0.7475
Sm 0.2520 0.2520 0.2527
Sm 0.4159 0.0838 0.7475
Sm 0.5841 0.9162 0.2525
Sm 0.7480 0.7480 0.7473
Sm 0.9162 0.5841 0.2525
Dy 0.5000 0.5000 0.0000
Y 0.0000 0.0000 0.5000
Y 0.3337 0.6663 0.5000
Y 0.6663 0.3337 0.5000
CELL_PARAMETERS angstrom
3.1394 -5.4366 0.0000
3.1394 5.4366 0.0000
-2.0882 0.0000 11.8141
```

- SG: C2/m, No. 12
- Uncorrected energy: -5.1409 eV/atom

=====

# 2
Computed, not measured: LiYAs2 after structural relaxation at the PBE level of DFT. Values from VASP.

The structure in Quantum ESPRESSO input format:
```
&SYSTEM
  ibrav = 0, nat = 4, ntyp = 3
/
ATOMIC_SPECIES
Li 6.94 Li.upf
Y 88.91 Y.upf
As 74.92 As.upf
ATOMIC_POSITIONS crystal
Li 0.0000 0.0000 0.0000
Y 0.5000 0.5000 0.0000
As 0.2500 0.7500 0.5000
As 0.7500 0.2500 0.5000
CELL_PARAMETERS angstrom
-2.3097 2.3097 3.8359
2.3097 -2.3097 3.8359
2.3097 2.3097 -3.8359
```

- SG: I4/mmm, No. 139
- Uncorrected energy: -5.1832 eV/atom
- Energy above the most stable polymorph in this dataset: 87 meV per atom

=====

# 3
Computed, not measured: LiIn6Pb8 after structural relaxation at the PBE level of DFT. Values from VASP.

The structure in Quantum ESPRESSO input format:
```
&SYSTEM
  ibrav = 0, nat = 15, ntyp = 3
/
ATOMIC_SPECIES
Li 6.94 Li.upf
In 114.82 In.upf
Pb 207.20 Pb.upf
ATOMIC_POSITIONS crystal
Li 0.0000 0.0000 0.0000
In 0.0177 0.6726 0.0794
In 0.3274 0.3452 0.0794
In 0.3452 0.0177 0.9206
In 0.6548 0.9823 0.0794
In 0.6726 0.6548 0.9206
In 0.9823 0.3274 0.9206
Pb 0.1140 0.4163 0.3970
Pb 0.3023 0.8860 0.3970
Pb 0.3333 0.6667 0.7781
Pb 0.4163 0.3023 0.6030
Pb 0.5837 0.6977 0.3970
Pb 0.6667 0.3333 0.2219
Pb 0.6977 0.1140 0.6030
Pb 0.8860 0.5837 0.6030
CELL_PARAMETERS angstrom
8.7821 0.0000 0.0000
-4.3910 7.6055 0.0000
0.0000 0.0000 7.0780
```

- SG: P-3, No. 147
- Uncorrected energy: -3.1383 eV/atom

=====

# 4
Computed, not measured: Ac6Ni2IrBr3 after structural relaxation at the PBE level of DFT. Values from VASP.

The structure in Quantum ESPRESSO input format:
```
&SYSTEM
  ibrav = 0, nat = 12, ntyp = 4
/
ATOMIC_SPECIES
Ac 227.00 Ac.upf
Ni 58.69 Ni.upf
Ir 192.22 Ir.upf
Br 79.90 Br.upf
ATOMIC_POSITIONS crystal
Ac 0.0121 0.0121 0.2181
Ac 0.3205 0.3205 0.4497
Ac 0.3462 0.3462 0.8836
Ac 0.6538 0.6538 0.1164
Ac 0.6795 0.6795 0.5503
Ac 0.9879 0.9879 0.7819
Ni 0.1679 0.1679 0.3352
Ni 0.8321 0.8321 0.6648
Ir 0.5000 0.5000 0.0000
Br 0.1674 0.1674 0.8306
Br 0.5000 0.5000 0.5000
Br 0.8326 0.8326 0.1694
CELL_PARAMETERS angstrom
10.3579 -2.1747 0.0000
10.3579 2.1747 0.0000
-3.5575 0.0000 8.9625
```

- SG: C2/m, No. 12
- ΔE_f (raw): -966 meV/atom
- Uncorrected energy: -5.1400 eV/atom

=====

# 5
Computed, not measured: Ce3Dy2HoBi6 after structural relaxation at the PBE level of DFT. Values from VASP.

The structure in Quantum ESPRESSO input format:
```
&SYSTEM
  ibrav = 0, nat = 12, ntyp = 4
/
ATOMIC_SPECIES
Ce 140.12 Ce.upf
Dy 162.50 Dy.upf
Ho 164.93 Ho.upf
Bi 208.98 Bi.upf
ATOMIC_POSITIONS crystal
Ce 0.0000 0.0000 0.0000
Ce 0.3330 0.6670 0.0000
Ce 0.6670 0.3330 0.0000
Dy 0.1665 0.8335 0.5000
Dy 0.8335 0.1665 0.5000
Ho 0.5000 0.5000 0.5000
Bi 0.0865 0.4192 0.2575
Bi 0.2483 0.2483 0.7430
Bi 0.4192 0.0865 0.2575
Bi 0.5808 0.9135 0.7425
Bi 0.7517 0.7517 0.2570
Bi 0.9135 0.5808 0.7425
CELL_PARAMETERS angstrom
3.9326 -6.8108 0.0000
3.9326 6.8108 0.0000
-2.6221 0.0000 7.4014
```

- SG: C2/m, No. 12
- Uncorrected energy: -5.3956 eV/atom

=====

# 6
Computed, not measured: FeCoOsRh after structural relaxation at the PBE level of DFT. Values from VASP.

The structure in Quantum ESPRESSO input format:
```
&SYSTEM
  ibrav = 0, nat = 4, ntyp = 4
/
ATOMIC_SPECIES
Fe 55.84 Fe.upf
Co 58.93 Co.upf
Os 190.23 Os.upf
Rh 102.91 Rh.upf
ATOMIC_POSITIONS crystal
Fe 0.0000 0.0000 0.0000
Co 0.5000 0.5000 0.5000
Os 0.7500 0.7500 0.7500
Rh 0.2500 0.2500 0.2500
CELL_PARAMETERS angstrom
0.0000 2.9611 2.9611
2.9611 0.0000 2.9611
2.9611 2.9611 0.0000
```

- SG: F-43m, No. 216
- Uncorrected energy: -8.3322 eV/atom

=====

# 7
Computed, not measured: NbOs2Cl after structural relaxation at the PBE level of DFT. Values from VASP.

The structure in Quantum ESPRESSO input format:
```
&SYSTEM
  ibrav = 0, nat = 8, ntyp = 3
/
ATOMIC_SPECIES
Nb 92.91 Nb.upf
Os 190.23 Os.upf
Cl 35.45 Cl.upf
ATOMIC_POSITIONS crystal
Nb 0.0000 0.0000 0.0000
Nb 0.7500 0.2500 0.5000
Os 0.1739 0.6250 0.0489
Os 0.3750 0.4239 0.5489
Os 0.5761 0.1250 0.9511
Os 0.8750 0.8261 0.4511
Cl 0.2500 0.7500 0.5000
Cl 0.5000 0.5000 0.0000
CELL_PARAMETERS angstrom
-2.6834 2.6834 5.7960
2.6834 -2.6834 5.7960
2.6834 2.6834 -5.7960
```

- SG: I-42d, No. 122
- ΔE_f (raw): 1261 meV/atom
- Uncorrected energy: -7.3333 eV/atom
- Energy above the most stable polymorph in this dataset: 252 meV per atom

=====

# 8
Computed, not measured: TiNb5Ga6 after structural relaxation at the PBE level of DFT. Values from VASP.

The structure in Quantum ESPRESSO input format:
```
&SYSTEM
  ibrav = 0, nat = 12, ntyp = 3
/
ATOMIC_SPECIES
Ti 47.87 Ti.upf
Nb 92.91 Nb.upf
Ga 69.72 Ga.upf
ATOMIC_POSITIONS crystal
Ti 0.0000 0.0000 0.0000
Nb 0.1692 0.8308 0.5000
Nb 0.3340 0.6660 0.0000
Nb 0.5000 0.5000 0.5000
Nb 0.6660 0.3340 0.0000
Nb 0.8308 0.1692 0.5000
Ga 0.0817 0.4115 0.2467
Ga 0.2455 0.2455 0.7496
Ga 0.4115 0.0817 0.2467
Ga 0.5885 0.9183 0.7533
Ga 0.7545 0.7545 0.2504
Ga 0.9183 0.5885 0.7533
CELL_PARAMETERS angstrom
3.2160 -5.5793 0.0000
3.2160 5.5793 0.0000
-2.1568 0.0000 6.0545
```

- SG: C2/m, No. 12
- Uncorrected energy: -6.3869 eV/atom

=====

# 9
Computed, not measured: ScHgH3 after structural relaxation at the PBE level of DFT. Values from VASP.

The structure in Quantum ESPRESSO input format:
```
&SYSTEM
  ibrav = 0, nat = 5, ntyp = 3
/
ATOMIC_SPECIES
Sc 44.96 Sc.upf
Hg 200.59 Hg.upf
H 1.01 H.upf
ATOMIC_POSITIONS crystal
Sc 0.0000 0.0000 0.0000
Hg 0.5000 0.5000 0.5000
H 0.0000 0.5000 0.5000
H 0.5000 0.0000 0.5000
H 0.5000 0.5000 0.0000
CELL_PARAMETERS angstrom
3.8698 0.0000 0.0000
0.0000 3.8698 0.0000
0.0000 0.0000 3.8698
```

- SG: Pm-3m, No. 221
- Uncorrected energy: -2.9175 eV/atom
- Energy above the most stable polymorph in this dataset: 540 meV per atom

=====

# 10
Computed, not measured: BaCaTcTe2 after structural relaxation at the PBE level of DFT. Values from VASP.

The structure in Quantum ESPRESSO input format:
```
&SYSTEM
  ibrav = 0, nat = 5, ntyp = 4
/
ATOMIC_SPECIES
Ba 137.33 Ba.upf
Ca 40.08 Ca.upf
Tc 98.00 Tc.upf
Te 127.60 Te.upf
ATOMIC_POSITIONS crystal
Ba 0.0000 0.0000 0.0000
Ca 0.5000 0.5000 0.0000
Tc 0.5000 0.5000 0.5000
Te 0.0000 0.5000 0.5000
Te 0.5000 0.0000 0.5000
CELL_PARAMETERS angstrom
5.5878 0.0000 0.0000
0.0000 5.5878 0.0000
0.0000 0.0000 5.0910
```

- SG: P4/mmm, No. 123
- ΔE_f (raw): -333 meV/atom
- Uncorrected energy: -4.4482 eV/atom

=====

# 11
Computed, not measured: Ba2LaTaSi after structural relaxation at the PBE level of DFT. Values from VASP.

The structure in Quantum ESPRESSO input format:
```
&SYSTEM
  ibrav = 0, nat = 5, ntyp = 4
/
ATOMIC_SPECIES
Ba 137.33 Ba.upf
La 138.91 La.upf
Ta 180.95 Ta.upf
Si 28.09 Si.upf
ATOMIC_POSITIONS crystal
Ba 0.0000 0.5000 0.0000
Ba 0.5000 0.0000 0.0000
La 0.0000 0.0000 0.0000
Ta 0.0000 0.0000 0.5000
Si 0.5000 0.5000 0.5000
CELL_PARAMETERS angstrom
6.3162 0.0000 0.0000
0.0000 6.3162 0.0000
0.0000 0.0000 5.0288
```

- SG: P4/mmm, No. 123
- ΔE_f (raw): 1386 meV/atom
- Uncorrected energy: -3.8240 eV/atom

=====

# 12
Computed, not measured: CsK5NaHg2 after structural relaxation at the PBE level of DFT. Values from VASP.

The structure in Quantum ESPRESSO input format:
```
&SYSTEM
  ibrav = 0, nat = 9, ntyp = 4
/
ATOMIC_SPECIES
Cs 132.91 Cs.upf
K 39.10 K.upf
Na 22.99 Na.upf
Hg 200.59 Hg.upf
ATOMIC_POSITIONS crystal
Cs 0.0000 0.0000 0.0000
K 0.0000 0.5000 0.3153
K 0.0000 0.5000 0.6847
K 0.5000 0.0000 0.3153
K 0.5000 0.0000 0.6847
K 0.5000 0.5000 0.0000
Na 0.5000 0.5000 0.5000
Hg 0.5000 0.5000 0.2581
Hg 0.5000 0.5000 0.7419
CELL_PARAMETERS angstrom
6.7593 0.0000 0.0000
0.0000 6.7593 0.0000
0.0000 0.0000 12.8808
```

- SG: P4/mmm, No. 123
- Uncorrected energy: -0.9743 eV/atom

=====

# 13
Computed, not measured: CrReAu2 after structural relaxation at the PBE level of DFT. Values from VASP.

The structure in Quantum ESPRESSO input format:
```
&SYSTEM
  ibrav = 0, nat = 4, ntyp = 3
/
ATOMIC_SPECIES
Cr 52.00 Cr.upf
Re 186.21 Re.upf
Au 196.97 Au.upf
ATOMIC_POSITIONS crystal
Cr 0.0000 0.0000 0.0000
Re 0.2500 0.2500 0.2500
Au 0.5000 0.5000 0.5000
Au 0.7500 0.7500 0.7500
CELL_PARAMETERS angstrom
0.0000 3.1939 3.1939
3.1939 0.0000 3.1939
3.1939 3.1939 0.0000
```

- SG: F-43m, No. 216
- Uncorrected energy: -6.5731 eV/atom
- Energy above the most stable polymorph in this dataset: 315 meV per atom

=====

# 14
Computed, not measured: TiP2AuCl after structural relaxation at the PBE level of DFT. Values from VASP.

The structure in Quantum ESPRESSO input format:
```
&SYSTEM
  ibrav = 0, nat = 5, ntyp = 4
/
ATOMIC_SPECIES
Ti 47.87 Ti.upf
P 30.97 P.upf
Au 196.97 Au.upf
Cl 35.45 Cl.upf
ATOMIC_POSITIONS crystal
Ti 0.0000 0.0000 0.0000
P 0.0000 0.5000 0.0000
P 0.5000 0.0000 0.0000
Au 0.5000 0.5000 0.5000
Cl 0.0000 0.0000 0.5000
CELL_PARAMETERS angstrom
4.8115 0.0000 0.0000
0.0000 4.8115 0.0000
0.0000 0.0000 4.5815
```

- SG: P4/mmm, No. 123
- ΔE_f (raw): 165 meV/atom
- Uncorrected energy: -4.6025 eV/atom
- Energy above the most stable polymorph in this dataset: 0 meV per atom

=====

# 15
Computed, not measured: ScNi2Mo after structural relaxation at the PBE level of DFT. Values from VASP.

The structure in Quantum ESPRESSO input format:
```
&SYSTEM
  ibrav = 0, nat = 4, ntyp = 3
/
ATOMIC_SPECIES
Sc 44.96 Sc.upf
Ni 58.69 Ni.upf
Mo 95.94 Mo.upf
ATOMIC_POSITIONS crystal
Sc 0.0000 0.0000 0.0000
Ni 0.0000 0.0000 0.5342
Ni 0.5000 0.5000 0.7448
Mo 0.5000 0.5000 0.3216
CELL_PARAMETERS angstrom
3.0928 0.0000 0.0000
0.0000 3.0928 0.0000
0.0000 0.0000 6.1061
```

- SG: P4mm, No. 99
- Uncorrected energy: -7.2503 eV/atom
- Energy above the most stable polymorph in this dataset: 79 meV per atom

=====

# 16
Computed, not measured: TbPr2Nd after structural relaxation at the PBE level of DFT. Values from VASP.

The structure in Quantum ESPRESSO input format:
```
&SYSTEM
  ibrav = 0, nat = 4, ntyp = 3
/
ATOMIC_SPECIES
Tb 158.93 Tb.upf
Pr 140.91 Pr.upf
Nd 144.24 Nd.upf
ATOMIC_POSITIONS crystal
Tb 0.0000 0.0000 0.0000
Pr 0.2500 0.2500 0.2500
Pr 0.7500 0.7500 0.7500
Nd 0.5000 0.5000 0.5000
CELL_PARAMETERS angstrom
0.0000 4.1210 4.1210
4.1210 0.0000 4.1210
4.1210 4.1210 0.0000
```

- SG: Fm-3m, No. 225
- Uncorrected energy: -4.6123 eV/atom
- Energy above the most stable polymorph in this dataset: 115 meV per atom

=====

# 17
Computed, not measured: PrAl2Co after structural relaxation at the PBE level of DFT. Values from VASP.

The structure in Quantum ESPRESSO input format:
```
&SYSTEM
  ibrav = 0, nat = 4, ntyp = 3
/
ATOMIC_SPECIES
Pr 140.91 Pr.upf
Al 26.98 Al.upf
Co 58.93 Co.upf
ATOMIC_POSITIONS crystal
Pr 0.0000 0.0000 0.0000
Al 0.2034 0.2034 0.2034
Al 0.7966 0.7966 0.7966
Co 0.5000 0.5000 0.5000
CELL_PARAMETERS angstrom
2.0602 1.1894 5.4639
-2.0602 1.1894 5.4639
0.0000 -2.3789 5.4639
```

- SG: R-3m, No. 166
- Uncorrected energy: -5.2352 eV/atom

=====

# 18
Computed, not measured: PRuI2 after structural relaxation at the PBE level of DFT. Values from VASP.

The structure in Quantum ESPRESSO input format:
```
&SYSTEM
  ibrav = 0, nat = 4, ntyp = 3
/
ATOMIC_SPECIES
P 30.97 P.upf
Ru 101.07 Ru.upf
I 126.90 I.upf
ATOMIC_POSITIONS crystal
P 0.0000 0.0000 0.0000
Ru 0.5000 0.5000 0.5000
I 0.2500 0.2500 0.2500
I 0.7500 0.7500 0.7500
CELL_PARAMETERS angstrom
0.0000 3.4871 3.4871
3.4871 0.0000 3.4871
3.4871 3.4871 0.0000
```

- SG: Fm-3m, No. 225
- ΔE_f (raw): 1149 meV/atom
- Uncorrected energy: -3.2978 eV/atom
- Energy above the most stable polymorph in this dataset: 203 meV per atom

=====

# 19
Computed, not measured: Hf2V5W after structural relaxation at the PBE level of DFT. Values from VASP.

The structure in Quantum ESPRESSO input format:
```
&SYSTEM
  ibrav = 0, nat = 8, ntyp = 3
/
ATOMIC_SPECIES
Hf 178.49 Hf.upf
V 50.94 V.upf
W 183.84 W.upf
ATOMIC_POSITIONS crystal
Hf 0.2491 0.2491 0.0000
Hf 0.7509 0.7509 0.0000
V 0.0000 0.0000 0.0000
V 0.1079 0.6079 0.5000
V 0.3921 0.8921 0.5000
V 0.6079 0.1079 0.5000
V 0.8921 0.3921 0.5000
W 0.5000 0.5000 0.0000
CELL_PARAMETERS angstrom
-2.2103 2.2103 6.5426
2.2103 -2.2103 6.5426
2.2103 2.2103 -6.5426
```

- SG: I4/mmm, No. 139
- Uncorrected energy: -9.7404 eV/atom

=====

# 20
Computed, not measured: MgTe2Pt after structural relaxation at the PBE level of DFT. Values from VASP.

The structure in Quantum ESPRESSO input format:
```
&SYSTEM
  ibrav = 0, nat = 4, ntyp = 3
/
ATOMIC_SPECIES
Mg 24.30 Mg.upf
Te 127.60 Te.upf
Pt 195.08 Pt.upf
ATOMIC_POSITIONS crystal
Mg 0.0000 0.0000 0.0000
Te 0.0000 0.5000 0.5000
Te 0.5000 0.0000 0.5000
Pt 0.5000 0.5000 0.0000
CELL_PARAMETERS angstrom
5.2614 0.0000 0.0000
0.0000 5.2614 0.0000
0.0000 0.0000 3.1782
```

- SG: P4/mmm, No. 123
- ΔE_f (raw): -95 meV/atom
- Uncorrected energy: -3.5751 eV/atom